First-principles (meta-GGA SCAN) data for a crystal of TlCrNi relaxed with PBEsol, as listed in Alexandria.

The structure belongs to space group F-43m (No. 216); the cell edges are 6.0894, 6.0894 and 6.0894 Å and the angles 90.00°, 90.00° and 90.00°. The inequivalent atoms are Tl at (0.0000, 0.0000, 0.0000), Cr at (0.2500, 0.2500, 0.2500) and Ni at (0.2500, 0.2500, 0.7500).

The calculation puts the total energy at -419.7 eV for the cell shown. The value obtained for the volume is 18.82 Å³/atom. The calculation puts the formation energy at 63.8 kJ/mol of atoms.

---

First-principles (meta-GGA SCAN) data for a crystal of TlCrNi2 relaxed with PBEsol, as listed in Alexandria.

The structure belongs to space group R-3m (No. 166, hexagonal axes); the cell edges are 2.8517, 2.8517 and 24.2074 Å and the angles 90.00°, 90.00° and 120.00°. The inequivalent atoms are Tl at (0.0000, 0.0000, 0.0000), Cr at (0.0000, 0.0000, 0.5000) and Ni at (0.0000, 0.0000, 0.2400).

The calculation puts the total energy at -363.0 eV for the cell shown. The value obtained for the volume is 14.21 Å³/atom. The calculation puts the formation energy at 50.7 kJ/mol of atoms.

---

First-principles (meta-GGA SCAN) data for a crystal of Cr2NiW relaxed with PBEsol, as listed in Alexandria.

The structure belongs to space group Pmmm (No. 47); the cell edges are 2.4665, 3.7883 and 5.2788 Å and the angles 90.00°, 90.00° and 90.00°. The inequivalent atoms are Cr at (0.0000, 0.0000, 0.2211), Ni at (0.5000, 0.5000, 0.0000) and W at (0.5000, 0.5000, 0.5000).

The calculation puts the total energy at -121.4 eV for the cell shown. The value obtained for the volume is 12.33 Å³/atom. The calculation puts the formation energy at 29.9 kJ/mol of atoms.

---

First-principles (meta-GGA SCAN) data for a crystal of CrNiW2 relaxed with PBEsol, as listed in Alexandria.

The structure belongs to space group Cmm2 (No. 35); the cell edges are 3.1726, 4.1735 and 8.1065 Å and the angles 90.00°, 90.00° and 90.00°. The inequivalent atoms are Cr at (0.0000, 0.0000, 0.0000), Ni at (0.0000, 0.5000, 0.7806), W at (0.0000, 0.0000, 0.5360) and W at (0.0000, 0.5000, 0.2546).

The calculation puts the total energy at -346.6 eV for the cell shown. The value obtained for the volume is 13.42 Å³/atom. The calculation puts the formation energy at 15.8 kJ/mol of atoms.

---

First-principles (meta-GGA SCAN) data for a crystal of CrNiW2 relaxed with PBEsol, as listed in Alexandria.

The structure belongs to space group Cmmm (No. 65); the cell edges are 3.1231, 4.2104 and 8.1450 Å and the angles 90.00°, 90.00° and 90.00°. The inequivalent atoms are Cr at (0.0000, 0.0000, 0.0000), Ni at (0.0000, 0.0000, 0.5000) and W at (0.0000, 0.5000, 0.2540).

The calculation puts the total energy at -346.8 eV for the cell shown. The value obtained for the volume is 13.39 Å³/atom. The calculation puts the formation energy at 13.1 kJ/mol of atoms.

---

First-principles (meta-GGA SCAN) data for a crystal of CrNiW2 relaxed with PBEsol, as listed in Alexandria.

The structure belongs to space group P4/mmm (No. 123); the cell edges are 2.6053, 2.6053 and 7.9165 Å and the angles 90.00°, 90.00° and 90.00°. The inequivalent atoms are Cr at (0.0000, 0.0000, 0.0000), Ni at (0.0000, 0.0000, 0.5000) and W at (0.5000, 0.5000, 0.2591).

The calculation puts the total energy at -173.0 eV for the cell shown. The value obtained for the volume is 13.43 Å³/atom. The calculation puts the formation energy at 23.6 kJ/mol of atoms.

---

First-principles (meta-GGA SCAN) data for a crystal of Y2CrNi relaxed with PBEsol, as listed in Alexandria.

The structure belongs to space group Fm-3m (No. 225); the cell edges are 6.8456, 6.8456 and 6.8456 Å and the angles 90.00°, 90.00° and 90.00°. The inequivalent atoms are Y at (0.2500, 0.2500, 0.2500), Cr at (0.0000, 0.0000, 0.0000) and Ni at (0.0000, 0.0000, 0.5000).

The calculation puts the total energy at -362.6 eV for the cell shown. The value obtained for the volume is 20.05 Å³/atom. The calculation puts the formation energy at -9.9 kJ/mol of atoms.

---

First-principles (meta-GGA SCAN) data for a crystal of YCr2Ni relaxed with PBEsol, as listed in Alexandria.

The structure belongs to space group R3m (No. 160, hexagonal axes); the cell edges are 2.9401, 2.9401 and 23.8619 Å and the angles 90.00°, 90.00° and 120.00°. The inequivalent atoms are Y at (0.0000, 0.0000, 0.0000), Cr at (0.0000, 0.0000, 0.4983), Cr at (0.0000, 0.0000, 0.7698) and Ni at (0.0000, 0.0000, 0.2388).

The calculation puts the total energy at -234.7 eV for the cell shown. The value obtained for the volume is 14.89 Å³/atom. The calculation puts the formation energy at 61.3 kJ/mol of atoms.